1.
Below is an optimized crystal structure of Li8Zn6Pt, with properties calculated at the PBE level.

Cell: 7.8725 7.8725 13.6737 Å, 90.00 90.00 120.00°
Space group R-3 (No. 148, hexagonal axes)
Symmetry-distinct sites (fractional):
Li  0.0000  0.0000  0.1108 (multiplicity 6)
Li  0.0990  0.5550  0.3333 (multiplicity 18)
Zn  0.0003  0.3312  0.8331 (multiplicity 18)
Pt  0.0000  0.0000  0.5000 (multiplicity 3)

Output
For the formation energy from the elements, the calculation gives -0.223 eV/atom. Its crystal system is trigonal. The magnetic moment comes out at 0.0 μB per formula unit.



2.
Below is an optimized crystal structure of LiAg2, with properties calculated at the PBE level.

Cell: 2.846 9.487 7.729 Å, 90.00 97.50 90.00°
Space group C2/c (No. 15)
Symmetry-distinct sites (fractional):
Li  0.000  0.133  0.250 (multiplicity 4)
Ag  0.211  0.381  0.084 (multiplicity 8)

Output
For the formation energy from the elements, the calculation gives -0.121 eV/atom. Its crystal system is monoclinic. The magnetic moment comes out at 0.0 μB per formula unit.



3.
Below is an optimized crystal structure of LiNpN2, with properties calculated at the PBE level.

Cell: 3.4393 3.4393 16.7272 Å, 90.00 90.00 120.00°
Space group R3m (No. 160, hexagonal axes)
Symmetry-distinct sites (fractional):
Li  0.0000  0.0000  0.0000 (multiplicity 3)
Np  0.0000  0.0000  0.1903 (multiplicity 3)
N  0.0000  0.0000  0.5910 (multiplicity 3)
N  0.0000  0.0000  0.7998 (multiplicity 3)

Output
As for the formation energy from raw total energies: -3.3 eV/f.u. Its crystal system is trigonal. The magnetic moment comes out at 2.0 μB per formula unit.



4.
Below is an optimized crystal structure of SrLi2Be, with properties calculated at the PBE level.

Cell: 8.361 4.182 5.855 Å, 90.00 110.58 90.00°
Space group C2/m (No. 12)
Symmetry-distinct sites (fractional):
Sr  0.000  0.000  0.000 (multiplicity 2)
Li  0.196  0.000  0.596 (multiplicity 4)
Be  0.000  0.500  0.500 (multiplicity 2)

Output
For the formation energy from the elements, the calculation gives 0.299 eV/atom. Its crystal system is monoclinic. The magnetic moment comes out at 0.0 μB per formula unit.



5.
Below is an optimized crystal structure of SrPPd2Au, with properties calculated at the PBE level.

Cell: 4.701 4.701 4.793 Å, 90.00 90.00 90.00°
Space group P4/mmm (No. 123)
Symmetry-distinct sites (fractional):
Sr  0.000  0.000  0.000 (multiplicity 1)
P  0.500  0.500  0.500 (multiplicity 1)
Pd  0.000  0.500  0.500 (multiplicity 2)
Au  0.500  0.500  0.000 (multiplicity 1)

Output
For the formation energy from the elements, the calculation gives -0.602 eV/atom. Its crystal system is tetragonal. The magnetic moment comes out at 0.0 μB per formula unit.



6.
Below is an optimized crystal structure of PRh, with properties calculated at the PBE level.

Cell: 3.7863 3.7863 5.7979 Å, 90.00 90.00 120.00°
Space group P-3m1 (No. 164)
Symmetry-distinct sites (fractional):
P  0.3333  0.6667  0.2352 (multiplicity 2)
Rh  0.3333  0.6667  0.6532 (multiplicity 2)

Output
For the formation energy from the elements, the calculation gives -0.373 eV/atom. Its crystal system is trigonal. The magnetic moment comes out at 0.0 μB per formula unit.



7.
Below is an optimized crystal structure of RbSmSnS3, with properties calculated at the PBE level.

Cell: 8.454 4.110 11.829 Å, 90.00 108.05 90.00°
Space group P2_1/m (No. 11)
Symmetry-distinct sites (fractional):
Rb  0.213  0.250  0.243 (multiplicity 2)
Sm  0.363  0.750  0.855 (multiplicity 2)
Sn  0.163  0.250  0.571 (multiplicity 2)
S  0.118  0.250  0.776 (multiplicity 2)
S  0.369  0.750  0.616 (multiplicity 2)
S  0.400  0.750  0.096 (multiplicity 2)

Output
As for the formation energy from raw total energies: -8.2 eV/f.u. Its crystal system is monoclinic. The magnetic moment comes out at 0.0 μB per formula unit.



8.
Below is an optimized crystal structure of CaSc2Ta, with properties calculated at the PBE level.

Cell: 10.294 3.097 6.296 Å, 90.00 95.11 90.00°
Space group Cm (No. 8)
Symmetry-distinct sites (fractional):
Ca  0.000  0.000  0.000 (multiplicity 2)
Sc  0.240  0.000  0.695 (multiplicity 2)
Sc  0.489  0.000  0.460 (multiplicity 2)
Ta  0.253  0.500  0.296 (multiplicity 2)

Output
For the formation energy from the elements, the calculation gives 0.367 eV/atom. Its crystal system is monoclinic. The magnetic moment comes out at 0.0 μB per formula unit.



9.
Below is an optimized crystal structure of CaPmCuHg, with properties calculated at the PBE level.

Cell: 7.377 7.377 7.377 Å, 90.00 90.00 90.00°
Space group F-43m (No. 216)
Symmetry-distinct sites (fractional):
Ca  0.000  0.000  0.000 (multiplicity 4)
Pm  0.000  0.000  0.500 (multiplicity 4)
Cu  0.250  0.250  0.250 (multiplicity 4)
Hg  0.250  0.250  0.750 (multiplicity 4)

Output
For the formation energy from the elements, the calculation gives -0.299 eV/atom. Its crystal system is cubic. The magnetic moment comes out at 0.0 μB per formula unit.



10.
Below is an optimized crystal structure of ZrReNi3, with properties calculated at the PBE level.

Cell: 4.460 4.460 4.460 Å, 90.00 90.00 90.00°
Space group Pm-3m (No. 221)
Symmetry-distinct sites (fractional):
Zr  0.000  0.000  0.000 (multiplicity 1)
Re  0.500  0.500  0.500 (multiplicity 1)
Ni  0.000  0.500  0.500 (multiplicity 3)

Output
For the formation energy from the elements, the calculation gives 0.861 eV/atom. Its crystal system is cubic. The magnetic moment comes out at 0.0 μB per formula unit.



11.
Below is an optimized crystal structure of Hg3Bi2Pb2, with properties calculated at the PBE level.

Cell: 5.453 3.369 11.466 Å, 90.00 97.85 90.00°
Space group P2/m (No. 10)
Symmetry-distinct sites (fractional):
Hg  0.000  0.000  0.000 (multiplicity 1)
Hg  0.401  0.500  0.872 (multiplicity 2)
Bi  0.273  0.500  0.585 (multiplicity 2)
Pb  0.177  0.000  0.280 (multiplicity 2)

Output
For the formation energy from the elements, the calculation gives 0.039 eV/atom. Its crystal system is monoclinic. The magnetic moment comes out at 0.0 μB per formula unit.



12.
Below is an optimized crystal structure of YZnCu2Au, with properties calculated at the PBE level.

Cell: 5.284 5.284 5.483 Å, 90.00 90.00 90.00°
Space group P4/mmm (No. 123)
Symmetry-distinct sites (fractional):
Y  0.000  0.000  0.000 (multiplicity 1)
Zn  0.500  0.500  0.500 (multiplicity 1)
Cu  0.000  0.500  0.000 (multiplicity 2)
Au  0.000  0.000  0.500 (multiplicity 1)

Output
For the formation energy from the elements, the calculation gives 0.944 eV/atom. Its crystal system is tetragonal. The magnetic moment comes out at 0.0 μB per formula unit.